1.
Compound: K2SmPd3F12
Source: the Alexandria database
Functional: PBE
Structure: relaxed

Unit cell a=7.418 b=7.418 c=7.418 alpha=62.51 beta=62.51 gamma=62.51
Fractional coordinates of all 18 atoms:
K (0.125, 0.125, 0.125)
K (0.875, 0.875, 0.875)
Sm (0.500, 0.500, 0.500)
Pd (0.000, 0.500, 0.500)
Pd (0.500, 0.000, 0.500)
Pd (0.500, 0.500, 0.000)
F (0.120, 0.624, 0.624)
F (0.229, 0.229, 0.627)
F (0.229, 0.627, 0.229)
F (0.373, 0.771, 0.771)
F (0.376, 0.376, 0.880)
F (0.376, 0.880, 0.376)
F (0.624, 0.120, 0.624)
F (0.624, 0.624, 0.120)
F (0.627, 0.229, 0.229)
F (0.771, 0.373, 0.771)
F (0.771, 0.771, 0.373)
F (0.880, 0.376, 0.376)

## Properties
Its crystal system is trigonal. The total energy is -4.640 eV per atom. As for the density: 4.2 g/cm3.


2.
Compound: KSnPd2F
Source: the Alexandria database
Functional: PBE
Structure: relaxed

Unit cell a=5.170 b=5.170 c=4.424 alpha=90.00 beta=90.00 gamma=90.00
Fractional coordinates of all 5 atoms:
K (0.000, 0.000, 0.000)
Sn (0.500, 0.500, 0.500)
Pd (0.000, 0.500, 0.000)
Pd (0.500, 0.000, 0.000)
F (0.000, 0.000, 0.500)

## Properties
Its crystal system is tetragonal. The total energy is -3.291 eV per atom. As for the density: 5.5 g/cm3.


3.
Compound: K2SrPdF6
Source: the Alexandria database
Functional: PBE
Structure: relaxed

Unit cell a=5.029 b=6.055 c=13.181 alpha=90.00 beta=109.56 gamma=90.00
Fractional coordinates of all 20 atoms:
K (0.216, 0.054, 0.249)
K (0.216, 0.446, 0.749)
K (0.784, 0.554, 0.251)
K (0.784, 0.946, 0.751)
Sr (0.000, 0.000, 0.500)
Sr (0.000, 0.500, 0.000)
Pd (0.500, 0.000, 0.000)
Pd (0.500, 0.500, 0.500)
F (0.143, 0.162, 0.923)
F (0.143, 0.338, 0.423)
F (0.245, 0.031, 0.688)
F (0.245, 0.469, 0.188)
F (0.332, 0.712, 0.936)
F (0.332, 0.788, 0.436)
F (0.668, 0.212, 0.564)
F (0.668, 0.288, 0.064)
F (0.755, 0.531, 0.812)
F (0.755, 0.969, 0.312)
F (0.857, 0.662, 0.577)
F (0.857, 0.838, 0.077)

## Properties
Its crystal system is monoclinic. The total energy is -4.667 eV per atom. As for the density: 3.4 g/cm3.


4.
Compound: KTbPdF6
Source: the Alexandria database
Functional: PBE
Structure: relaxed

Unit cell a=5.538 b=5.832 c=5.913 alpha=93.05 beta=112.44 gamma=93.96
Fractional coordinates of all 9 atoms:
K (0.000, 0.000, 0.000)
Tb (0.659, 0.493, 0.336)
Pd (0.305, 0.494, 0.690)
F (0.283, 0.335, 0.372)
F (0.349, 0.649, 0.019)
F (0.627, 0.671, 0.683)
F (0.629, 0.208, 0.092)
F (0.931, 0.755, 0.326)
F (0.961, 0.322, 0.653)

## Properties
Its crystal system is triclinic. The total energy is -5.254 eV per atom. As for the density: 4.0 g/cm3.


5.
Compound: KTi2PdF
Source: the Alexandria database
Functional: PBE
Structure: relaxed

Unit cell a=5.175 b=5.175 c=4.238 alpha=90.00 beta=90.00 gamma=90.00
Fractional coordinates of all 5 atoms:
K (0.000, 0.000, 0.000)
Ti (0.000, 0.500, 0.000)
Ti (0.500, 0.000, 0.000)
Pd (0.500, 0.500, 0.500)
F (0.000, 0.000, 0.500)

## Properties
Its crystal system is tetragonal. The total energy is -3.857 eV per atom. As for the density: 3.8 g/cm3.


6.
Compound: KTiPdF6
Source: the Alexandria database
Functional: PBE
Structure: relaxed

Unit cell a=5.252 b=5.774 c=5.938 alpha=117.39 beta=92.62 gamma=90.15
Fractional coordinates of all 9 atoms:
K (0.000, 0.000, 0.000)
Ti (0.481, 0.652, 0.336)
Pd (0.493, 0.348, 0.698)
F (0.211, 0.626, 0.109)
F (0.306, 0.373, 0.377)
F (0.315, 0.920, 0.605)
F (0.647, 0.369, 0.055)
F (0.669, 0.887, 0.276)
F (0.726, 0.641, 0.577)

## Properties
Its crystal system is triclinic. The total energy is -5.468 eV per atom. As for the density: 3.2 g/cm3.